a | Crystalline Tb3CeHo6 at its relaxed geometry, computed with PBE.

abc: 6.1415 10.8636 10.8636
angles: 119.30 90.00 90.00
Element x y z (fractional)
Tb: 0.4520 0.9398 0.7176
Tb: 0.9520 0.7176 0.9398
Tb: 0.0672 0.3883 0.6117
Tb: 0.5672 0.6117 0.3883
Tb: 0.9520 0.0602 0.2824
Tb: 0.4520 0.2824 0.0602
Ce: 0.1453 0.2073 0.7927
Ce: 0.6453 0.7927 0.2073
Ho: 0.0327 0.7093 0.6182
Ho: 0.5327 0.6182 0.7093
Ho: 0.3748 0.5439 0.9631
Ho: 0.8748 0.9631 0.5439
Ho: 0.4186 0.9509 0.0491
Ho: 0.6353 0.2800 0.7200
Ho: 0.1353 0.7200 0.2800
Ho: 0.9186 0.0491 0.9509
Ho: 0.3748 0.0369 0.4561
Ho: 0.8748 0.4561 0.0369
Ho: 0.0327 0.3818 0.2907
Ho: 0.5327 0.2907 0.3818

Results
Crystal system = orthorhombic
Space-group type = Cmc2_1 (36)



b | Crystalline Tb3CeHo6 at its relaxed geometry, computed with PBE.

abc: 6.4615 7.8183 8.2480
angles: 94.20 66.94 65.59
Element x y z (fractional)
Tb: 0.2260 0.2805 0.2675
Tb: 0.7740 0.7195 0.7325
Tb: 0.0000 0.0000 0.0000
Ce: 0.5000 0.5000 0.5000
Ho: 0.6837 0.8194 0.3252
Ho: 0.8282 0.1806 0.6748
Ho: 0.3163 0.1806 0.6748
Ho: 0.1718 0.8194 0.3252
Ho: 0.7437 0.4649 0.0477
Ho: 0.2563 0.5351 0.9523

Results
Crystal system = monoclinic
Space-group type = C2/m (12)



The structure with the most favorable energy is a; the runner-up is 187 meV/atom above it.



a | Crystalline Tb3CeHo at its relaxed geometry, computed with PBE.

abc: 5.3305 6.1084 10.7247
angles: 89.99 89.99 64.13
Element x y z (fractional)
Tb: 0.9998 0.0000 0.3296
Tb: 0.0002 0.0000 0.6704
Tb: 0.3464 0.3068 0.1903
Tb: 0.3469 0.3068 0.8097
Tb: 0.6536 0.6932 0.8097
Tb: 0.6531 0.6932 0.1903
Ce: 0.1230 0.7540 0.0000
Ce: 0.8770 0.2460 0.0000
Ho: 0.3436 0.3128 0.5000
Ho: 0.6564 0.6872 0.5000

Results
Crystal system = orthorhombic
Space-group type = Cmmm (65)



b | Crystalline Tb3CeHo at its relaxed geometry, computed with PBE.

abc: 9.3275 9.3521 7.3336
angles: 90.00 90.00 90.00
Element x y z (fractional)
Tb: 0.8729 0.1271 0.0048
Tb: 0.6271 0.6271 0.5048
Tb: 0.6271 0.6271 0.9952
Tb: 0.1271 0.8729 0.5048
Tb: 0.1271 0.8729 0.9952
Tb: 0.3729 0.3729 0.4952
Tb: 0.3729 0.3729 0.0048
Tb: 0.8729 0.1271 0.4952
Tb: 0.6715 0.3260 0.7500
Tb: 0.8285 0.8260 0.2500
Tb: 0.3285 0.6740 0.2500
Tb: 0.1715 0.1740 0.7500
Ce: 0.3258 0.6709 0.7500
Ce: 0.1742 0.1709 0.2500
Ce: 0.6742 0.3291 0.2500
Ce: 0.8258 0.8291 0.7500
Ho: 0.0000 0.5000 0.0000
Ho: 0.5000 0.0000 0.5000
Ho: 0.5000 0.0000 0.0000
Ho: 0.0000 0.5000 0.5000

Results
Crystal system = orthorhombic
Space-group type = Pnma (62)



The structure with the most favorable energy is b; the runner-up is 12 meV/atom above it.



a | Crystalline Tb5Ce2Ho12 at its relaxed geometry, computed with PBE.

abc: 9.1587 12.1584 8.5686
angles: 132.52 90.00 112.13
Element x y z (fractional)
Tb: 0.2857 0.5714 0.6093
Tb: 0.2311 0.4621 0.8973
Tb: 0.0000 0.0000 0.5000
Tb: 0.7689 0.5379 0.1027
Tb: 0.7143 0.4286 0.3907
Ce: 0.6491 0.0000 0.0000
Ce: 0.3509 0.0000 0.0000
Ho: 0.0677 0.1354 0.2632
Ho: 0.0341 0.7099 0.9482
Ho: 0.6758 0.7099 0.9482
Ho: 0.1759 0.7350 0.4200
Ho: 0.5591 0.7350 0.4200
Ho: 0.5591 0.1181 0.7755
Ho: 0.4409 0.8819 0.2245
Ho: 0.8241 0.2650 0.5800
Ho: 0.4409 0.2650 0.5800
Ho: 0.9659 0.2901 0.0518
Ho: 0.3242 0.2901 0.0518
Ho: 0.9323 0.8646 0.7368

Results
Crystal system = monoclinic
Space-group type = C2/m (12)



b | Crystalline Tb5Ce2Ho12 at its relaxed geometry, computed with PBE.

abc: 6.1558 10.0743 11.3327
angles: 121.81 92.76 92.44
Element x y z (fractional)
Tb: 0.5756 0.6699 0.6640
Tb: 0.0965 0.6658 0.1639
Tb: 0.0000 0.0000 0.5000
Tb: 0.9035 0.3342 0.8361
Tb: 0.4244 0.3301 0.3360
Ce: 0.6989 0.9740 0.9578
Ce: 0.3011 0.0260 0.0422
Ho: 0.9498 0.0327 0.2341
Ho: 0.0837 0.6728 0.8443
Ho: 0.5946 0.6726 0.0059
Ho: 0.1103 0.6433 0.4721
Ho: 0.6110 0.6614 0.3320
Ho: 0.5266 0.0071 0.6602
Ho: 0.4734 0.9929 0.3398
Ho: 0.8897 0.3567 0.5279
Ho: 0.3890 0.3386 0.6680
Ho: 0.9163 0.3272 0.1557
Ho: 0.4054 0.3274 0.9941
Ho: 0.0502 0.9673 0.7659

Results
Crystal system = triclinic
Space-group type = P-1 (2)



The structure with the most favorable energy is b; the runner-up is 38 meV/atom above it.



a | Crystalline TbCeHo3 at its relaxed geometry, computed with PBE.

abc: 3.5357 7.0574 24.7921
angles: 90.00 90.00 90.00
Element x y z (fractional)
Tb: 0.2500 0.6291 0.5507
Tb: 0.7500 0.3709 0.4493
Tb: 0.7500 0.8709 0.0507
Tb: 0.2500 0.1291 0.9493
Ce: 0.2500 0.1254 0.3491
Ce: 0.7500 0.8746 0.6509
Ce: 0.7500 0.3746 0.8491
Ce: 0.2500 0.6254 0.1509
Ho: 0.7500 0.3744 0.2498
Ho: 0.2500 0.6211 0.9479
Ho: 0.2500 0.1235 0.1499
Ho: 0.2500 0.6235 0.3501
Ho: 0.2500 0.1211 0.5521
Ho: 0.7500 0.3765 0.6499
Ho: 0.2500 0.1256 0.7498
Ho: 0.7500 0.8765 0.8501
Ho: 0.7500 0.3789 0.0521
Ho: 0.7500 0.8744 0.2502
Ho: 0.7500 0.8789 0.4479
Ho: 0.2500 0.6256 0.7502

Results
Crystal system = orthorhombic
Space-group type = Pnma (62)



b | Crystalline TbCeHo3 at its relaxed geometry, computed with PBE.

abc: 9.2825 11.2425 11.6445
angles: 148.78 90.00 90.00
Element x y z (fractional)
Tb: 0.8091 0.4349 0.9447
Tb: 0.1909 0.5651 0.0553
Tb: 0.3091 0.5651 0.5553
Tb: 0.6909 0.4349 0.4447
Ce: 0.2348 0.1516 0.5011
Ce: 0.7652 0.8484 0.4989
Ce: 0.7348 0.8484 0.9989
Ce: 0.2652 0.1516 0.0011
Ho: 0.1112 0.9545 0.5904
Ho: 0.8888 0.0455 0.4096
Ho: 0.6112 0.0455 0.9096
Ho: 0.3888 0.9545 0.0904
Ho: 0.5466 0.4008 0.6855
Ho: 0.4534 0.5992 0.3145
Ho: 0.0466 0.5992 0.8145
Ho: 0.9534 0.4008 0.1855
Ho: 0.0405 0.1727 0.2545
Ho: 0.9595 0.8273 0.7455
Ho: 0.5405 0.8273 0.2455
Ho: 0.4595 0.1727 0.7545

Results
Crystal system = monoclinic
Space-group type = P2_1/c (14)



The structure with the most favorable energy is a; the runner-up is 132 meV/atom above it.



a | Crystalline Tb4CeHo at its relaxed geometry, computed with PBE.

abc: 3.5729 6.1882 17.2512
angles: 96.75 90.00 90.00
Element x y z (fractional)
Tb: 0.5001 0.6136 0.3334
Tb: 0.0001 0.3864 0.1666
Tb: 0.4999 0.3864 0.6666
Tb: 0.9999 0.6136 0.8334
Tb: 0.0002 0.1098 0.3351
Tb: 0.5002 0.8902 0.1649
Tb: 0.9998 0.8902 0.6649
Tb: 0.4998 0.1098 0.8351
Ce: 0.5000 0.0000 0.5000
Ce: 0.0000 0.0000 0.0000
Ho: 0.0000 0.5000 0.5000
Ho: 0.5000 0.5000 0.0000

Results
Crystal system = monoclinic
Space-group type = C2/m (12)



b | Crystalline Tb4CeHo at its relaxed geometry, computed with PBE.

abc: 6.6309 11.5203 8.3406
angles: 133.67 113.42 90.00
Element x y z (fractional)
Tb: 0.8341 0.8353 0.6682
Tb: 0.1687 0.6682 0.8363
Tb: 0.6677 0.6682 0.8363
Tb: 0.8339 0.3330 0.6677
Tb: 0.1661 0.6670 0.3323
Tb: 0.8313 0.3318 0.1637
Tb: 0.3323 0.3318 0.1637
Tb: 0.1659 0.1647 0.3318
Ce: 0.5000 0.5000 0.0000
Ce: 0.5000 0.0000 0.0000
Ho: 0.5000 0.0000 0.5000
Ho: 0.0000 0.0000 0.5000

Results
Crystal system = orthorhombic
Space-group type = Imma (74)



The structure with the most favorable energy is a; the runner-up is 245 meV/atom above it.



a | Crystalline Tb6CeHo12 at its relaxed geometry, computed with PBE.

abc: 8.6505 8.6505 8.6505
angles: 99.16 99.16 99.16
Element x y z (fractional)
Tb: 0.8981 0.3395 0.8981
Tb: 0.8981 0.8981 0.3395
Tb: 0.3395 0.8981 0.8981
Tb: 0.1019 0.1019 0.6605
Tb: 0.1019 0.6605 0.1019
Tb: 0.6605 0.1019 0.1019
Ce: 0.0000 0.0000 0.0000
Ho: 0.7572 0.2428 0.5000
Ho: 0.3519 0.0794 0.3519
Ho: 0.3519 0.3519 0.0794
Ho: 0.9206 0.6481 0.6481
Ho: 0.6481 0.6481 0.9206
Ho: 0.6481 0.9206 0.6481
Ho: 0.5000 0.7572 0.2428
Ho: 0.2428 0.5000 0.7572
Ho: 0.2428 0.7572 0.5000
Ho: 0.5000 0.2428 0.7572
Ho: 0.7572 0.5000 0.2428
Ho: 0.0794 0.3519 0.3519

Results
Crystal system = trigonal
Space-group type = R-3m (166)



b | Crystalline Tb6CeHo12 at its relaxed geometry, computed with PBE.

abc: 8.4779 8.4779 8.4779
angles: 88.55 88.55 88.55
Element x y z (fractional)
Tb: 0.7427 0.9088 0.3085
Tb: 0.6915 0.2573 0.0912
Tb: 0.0912 0.6915 0.2573
Tb: 0.2573 0.0912 0.6915
Tb: 0.3085 0.7427 0.9088
Tb: 0.9088 0.3085 0.7427
Ce: 0.0000 0.0000 0.0000
Ho: 0.7749 0.5419 0.4380
Ho: 0.4380 0.7749 0.5419
Ho: 0.5419 0.4380 0.7749
Ho: 0.2251 0.4581 0.5620
Ho: 0.5620 0.2251 0.4581
Ho: 0.4581 0.5620 0.2251
Ho: 0.0115 0.2054 0.3530
Ho: 0.7946 0.6470 0.9885
Ho: 0.6470 0.9885 0.7946
Ho: 0.9885 0.7946 0.6470
Ho: 0.2054 0.3530 0.0115
Ho: 0.3530 0.0115 0.2054

Results
Crystal system = trigonal
Space-group type = R-3 (148)



The structure with the most favorable energy is b; the runner-up is 59 meV/atom above it.



a | Crystalline Tb6CeHo3 at its relaxed geometry, computed with PBE.

abc: 6.4665 7.7302 8.3762
angles: 94.13 67.29 65.28
Element x y z (fractional)
Tb: 0.6858 0.8200 0.3266
Tb: 0.8324 0.1800 0.6734
Tb: 0.3142 0.1800 0.6734
Tb: 0.1676 0.8200 0.3266
Tb: 0.7407 0.4686 0.0499
Tb: 0.2593 0.5314 0.9501
Ce: 0.5000 0.5000 0.5000
Ho: 0.2188 0.2877 0.2747
Ho: 0.7812 0.7123 0.7253
Ho: 0.0000 0.0000 0.0000

Results
Crystal system = monoclinic
Space-group type = C2/m (12)



b | Crystalline Tb6CeHo3 at its relaxed geometry, computed with PBE.

abc: 6.1139 10.9122 10.9122
angles: 119.28 90.00 90.00
Element x y z (fractional)
Tb: 0.0326 0.7088 0.6190
Tb: 0.5326 0.6190 0.7088
Tb: 0.3802 0.5430 0.9633
Tb: 0.8802 0.9633 0.5430
Tb: 0.4262 0.9516 0.0484
Tb: 0.6279 0.2780 0.7220
Tb: 0.1279 0.7220 0.2780
Tb: 0.9262 0.0484 0.9516
Tb: 0.3802 0.0367 0.4570
Tb: 0.8802 0.4570 0.0367
Tb: 0.0326 0.3810 0.2912
Tb: 0.5326 0.2912 0.3810
Ce: 0.1271 0.2055 0.7945
Ce: 0.6271 0.7945 0.2055
Ho: 0.4560 0.9411 0.7186
Ho: 0.9560 0.7186 0.9411
Ho: 0.0665 0.3863 0.6137
Ho: 0.5665 0.6137 0.3863
Ho: 0.9560 0.0589 0.2814
Ho: 0.4560 0.2814 0.0589

Results
Crystal system = orthorhombic
Space-group type = Cmc2_1 (36)



The structure with the most favorable energy is b; the runner-up is 198 meV/atom above it.



a | Crystalline Tb2CeHo8 at its relaxed geometry, computed with PBE.

abc: 4.9952 7.8976 9.3483
angles: 104.67 105.50 90.00
Element x y z (fractional)
Tb: 0.2285 0.6370 0.4570
Tb: 0.7715 0.3630 0.5430
Ce: 0.5000 0.0000 0.0000
Ho: 0.5904 0.4543 0.1809
Ho: 0.3196 0.0924 0.6392
Ho: 0.1359 0.1803 0.2717
Ho: 0.0448 0.7303 0.0896
Ho: 0.8641 0.8197 0.7283
Ho: 0.6804 0.9076 0.3608
Ho: 0.4096 0.5457 0.8191
Ho: 0.9552 0.2697 0.9104

Results
Crystal system = monoclinic
Space-group type = C2/m (12)



b | Crystalline Tb2CeHo8 at its relaxed geometry, computed with PBE.

abc: 5.5294 10.1050 10.1050
angles: 39.83 92.69 92.69
Element x y z (fractional)
Tb: 0.7507 0.2836 0.2836
Tb: 0.2493 0.7164 0.7164
Ce: 0.0000 0.0000 0.0000
Ho: 0.2667 0.1334 0.6027
Ho: 0.2667 0.6027 0.1334
Ho: 0.7333 0.8666 0.3973
Ho: 0.2376 0.5466 0.5466
Ho: 0.7333 0.3973 0.8666
Ho: 0.2338 0.1866 0.1866
Ho: 0.7662 0.8134 0.8134
Ho: 0.7624 0.4534 0.4534

Results
Crystal system = monoclinic
Space-group type = C2/m (12)



The structure with the most favorable energy is a; the runner-up is 138 meV/atom above it.



a | Crystalline Ce3HoTc at its relaxed geometry, computed with PBE.

abc: 6.8256 7.0717 7.0717
angles: 77.19 62.95 62.95
Element x y z (fractional)
Ce: 0.2634 0.9852 0.5005
Ce: 0.2634 0.5005 0.9852
Ce: 0.7366 0.4995 0.0148
Ce: 0.1974 0.5647 0.5647
Ce: 0.7366 0.0148 0.4995
Ce: 0.8026 0.4353 0.4353
Ho: 0.7867 0.9574 0.9574
Ho: 0.2133 0.0426 0.0426
Tc: 0.4692 0.2683 0.2683
Tc: 0.5308 0.7317 0.7317

Results
Crystal system = monoclinic
Space-group type = C2/m (12)



b | Crystalline Ce3HoTc at its relaxed geometry, computed with PBE.

abc: 5.3569 5.3569 5.3569
angles: 90.00 90.00 90.00
Element x y z (fractional)
Ho: 0.5000 0.5000 0.5000
Ce: 0.0000 0.5000 0.0000
Ce: 0.0000 0.0000 0.5000
Ce: 0.5000 0.0000 0.0000
Tc: 0.0000 0.0000 0.0000

Results
Crystal system = cubic
Space-group type = Pm-3m (221)



The structure with the most favorable energy is a; the runner-up is 75 meV/atom above it.